--- 1 ---
The following is a DFT calculation (PBE) of a relaxed Ir4PtRh crystal.

Values from the calculation:
DOS(E_F): 1.228 states/eV per atom

Cell: 8.704 5.173 7.212 Å, 134.27 125.00 77.09°
Positions (direct):
1 Ir 0.456 0.487 0.279
2 Ir 0.785 0.068 0.734
3 Ir 0.124 0.884 0.813
4 Ir 0.832 0.721 0.276
5 Ir 0.544 0.513 0.721
6 Ir 0.876 0.116 0.187
7 Ir 0.215 0.932 0.266
8 Ir 0.168 0.279 0.724
9 Pt 0.830 0.464 0.644
10 Pt 0.170 0.536 0.356
11 Rh 0.512 0.138 0.837
12 Rh 0.488 0.862 0.163

***

--- 2 ---
The following is a DFT calculation (PBE) of a relaxed Ir4PtRh crystal.

Values from the calculation:
DOS(E_F): 2.257 states/eV per atom

Cell: 5.136 5.136 5.136 Å, 60.00 60.00 60.00°
Positions (direct):
1 Ir 0.875 0.375 0.375
2 Ir 0.375 0.375 0.875
3 Ir 0.375 0.875 0.375
4 Ir 0.375 0.375 0.375
5 Pt 0.750 0.750 0.750
6 Rh 0.000 0.000 0.000

***

Energy relative to the most stable one, in meV per atom: 1 0; 2 450